[1]
{"formula": "Ti3InH", "functional": "PBE-GGA", "state": "relaxed", "cell": [[2.864, -4.483, 0.000], [2.864, 4.483, 0.000], [0.000, 0.000, 5.724]], "species": ["Ti", "Ti", "Ti", "Ti", "Ti", "Ti", "In", "In", "H", "H"], "frac_coords": [[0.243, 0.757, 0.750], [0.246, 0.246, 0.000], [0.246, 0.246, 0.500], [0.754, 0.754, 0.000], [0.754, 0.754, 0.500], [0.757, 0.243, 0.250], [0.245, 0.755, 0.250], [0.755, 0.245, 0.750], [0.455, 0.545, 0.750], [0.545, 0.455, 0.250]], "total_energy_ev_per_atom": -6.203, "magmom_total_mub_per_fu": 0.00}

=====

[2]
{"formula": "Ti3InH", "functional": "PBE-GGA", "state": "relaxed", "cell": [[3.645, 0.000, 0.000], [0.000, 3.645, 0.000], [0.000, 0.000, 7.482]], "species": ["Ti", "Ti", "Ti", "In", "H"], "frac_coords": [[0.000, 0.000, 0.000], [0.000, 0.500, 0.721], [0.500, 0.000, 0.721], [0.000, 0.000, 0.388], [0.500, 0.500, 0.626]], "total_energy_ev_per_atom": -5.539, "magmom_total_mub_per_fu": 0.00}

=====

[3]
{"formula": "Ti3InH", "functional": "PBE-GGA", "state": "relaxed", "cell": [[4.835, 0.000, 0.000], [0.000, 5.722, 0.000], [-0.086, 0.000, 5.334]], "species": ["Ti", "Ti", "Ti", "Ti", "Ti", "Ti", "In", "In", "H", "H"], "frac_coords": [[0.245, 0.250, 0.358], [0.247, 0.000, 0.857], [0.247, 0.500, 0.857], [0.753, 0.000, 0.143], [0.753, 0.500, 0.143], [0.755, 0.750, 0.642], [0.248, 0.750, 0.352], [0.752, 0.250, 0.648], [0.463, 0.250, 0.064], [0.537, 0.750, 0.936]], "total_energy_ev_per_atom": -6.172, "magmom_total_mub_per_fu": 0.00}

=====

[4]
{"formula": "Ti3InH", "functional": "PBE-GGA", "state": "relaxed", "cell": [[4.848, 0.000, 0.000], [0.000, 6.391, 0.000], [-0.663, 0.000, 4.822]], "species": ["Ti", "Ti", "Ti", "Ti", "Ti", "Ti", "In", "In", "H", "H"], "frac_coords": [[0.000, 0.000, 0.000], [0.026, 0.238, 0.518], [0.026, 0.762, 0.518], [0.506, 0.243, 0.982], [0.506, 0.757, 0.982], [0.528, 0.000, 0.518], [0.009, 0.500, 0.015], [0.521, 0.500, 0.487], [0.382, 0.000, 0.140], [0.853, 0.000, 0.339]], "total_energy_ev_per_atom": -6.178, "magmom_total_mub_per_fu": 0.00}

=====

[5]
{"formula": "Ti3InH", "functional": "PBE-GGA", "state": "relaxed", "cell": [[0.000, 5.524, 5.524], [5.524, 0.000, 5.524], [5.524, 5.524, 0.000]], "species": ["Ti", "Ti", "Ti", "Ti", "Ti", "Ti", "Ti", "Ti", "Ti", "Ti", "Ti", "Ti", "In", "In", "In", "In", "H", "H", "H", "H"], "frac_coords": [[0.059, 0.059, 0.691], [0.059, 0.691, 0.059], [0.059, 0.691, 0.691], [0.309, 0.309, 0.941], [0.309, 0.941, 0.309], [0.309, 0.941, 0.941], [0.691, 0.059, 0.059], [0.691, 0.059, 0.691], [0.691, 0.691, 0.059], [0.941, 0.309, 0.309], [0.941, 0.309, 0.941], [0.941, 0.941, 0.309], [0.000, 0.500, 0.500], [0.500, 0.000, 0.500], [0.500, 0.500, 0.000], [0.500, 0.500, 0.500], [0.000, 0.000, 0.000], [0.000, 0.000, 0.500], [0.000, 0.500, 0.000], [0.500, 0.000, 0.000]], "total_energy_ev_per_atom": -5.804, "magmom_total_mub_per_fu": 0.98}

=====

[6]
{"formula": "TiInH", "functional": "PBE-GGA", "state": "relaxed", "cell": [[7.291, 0.000, 0.000], [0.000, 3.094, 0.000], [0.000, 0.000, 8.138]], "species": ["Ti", "Ti", "Ti", "Ti", "In", "In", "In", "In", "H", "H", "H", "H"], "frac_coords": [[0.144, 0.250, 0.063], [0.356, 0.750, 0.563], [0.644, 0.250, 0.437], [0.856, 0.750, 0.937], [0.031, 0.250, 0.673], [0.469, 0.750, 0.173], [0.531, 0.250, 0.827], [0.969, 0.750, 0.327], [0.113, 0.750, 0.937], [0.387, 0.250, 0.437], [0.613, 0.750, 0.563], [0.887, 0.250, 0.063]], "relative_energy_mev_per_atom": 197, "magmom_total_mub_per_fu": 0.00}